Here is crystalline CaTb4Sm at its relaxed geometry from Alexandria via LeMat-Bulk. Energies are from GGA-PBE.

electronic total energy: -3.995 eV/atom
ΔH_f (0 K): 212 meV/atom
theoretical density: 6.49 g/cm³
ΔE to the lowest computed polymorph: 163.5 meV per atom

Structure (CIF):
```
data_CaTb4Sm
_chemical_formula_sum 'Ca4 Tb16 Sm4'
_cell_length_a 9.454
_cell_length_b 9.454
_cell_length_c 9.454
_cell_angle_alpha 90.00
_cell_angle_beta 90.00
_cell_angle_gamma 90.00
_space_group_name_H-M_alt 'F -4 3 m'
_space_group_IT_number 216
_space_group_name_Hall 'F -4 2 3'
loop_
_atom_site_label
_atom_site_fract_x
_atom_site_fract_y
_atom_site_fract_z
Ca1 0.000 0.000 0.000
Tb1 0.124 0.124 0.376
Sm1 0.250 0.250 0.750
```



Here is crystalline Zr2Mn2Cd at its relaxed geometry from Alexandria via LeMat-Bulk. Energies are from GGA-PBE.

electronic total energy: -7.276 eV/atom
ΔH_f (0 K): -6 meV/atom
theoretical density: 7.27 g/cm³

Structure (CIF):
```
data_Zr2Mn2Cd
_chemical_formula_sum 'Zr4 Mn4 Cd2'
_cell_length_a 7.233
_cell_length_b 7.233
_cell_length_c 3.532
_cell_angle_alpha 90.00
_cell_angle_beta 90.00
_cell_angle_gamma 90.00
_space_group_name_H-M_alt 'P 4/m b m'
_space_group_IT_number 127
_space_group_name_Hall '-P 4 2ab'
loop_
_atom_site_label
_atom_site_fract_x
_atom_site_fract_y
_atom_site_fract_z
Zr1 0.170 0.330 0.000
Mn1 0.123 0.623 0.500
Cd1 0.000 0.000 0.500
```



Here is crystalline DyAl3AgPd at its relaxed geometry from Alexandria via LeMat-Bulk. Energies are from GGA-PBE.

electronic total energy: -4.391 eV/atom
ΔH_f (0 K): -412 meV/atom
theoretical density: 6.63 g/cm³

Structure (CIF):
```
data_DyAl3AgPd
_chemical_formula_sum 'Dy4 Al12 Ag4 Pd4'
_cell_length_a 5.967
_cell_length_b 13.018
_cell_length_c 5.902
_cell_angle_alpha 90.00
_cell_angle_beta 90.00
_cell_angle_gamma 90.00
_space_group_name_H-M_alt 'C m c m'
_space_group_IT_number 63
_space_group_name_Hall '-C 2c 2'
loop_
_atom_site_label
_atom_site_fract_x
_atom_site_fract_y
_atom_site_fract_z
Dy1 0.000 0.202 0.250
Al1 0.000 0.368 0.750
Al2 0.217 0.000 0.000
Ag1 0.000 0.159 0.750
Pd1 0.000 0.410 0.250
```



Here is crystalline NaSr3Ta at its relaxed geometry from Alexandria via LeMat-Bulk. Energies are from GGA-PBE.

electronic total energy: -2.742 eV/atom
ΔH_f (0 K): 901 meV/atom
theoretical density: 3.39 g/cm³
ΔE to the lowest computed polymorph: 0.0 meV per atom

Structure (CIF):
```
data_NaSr3Ta
_chemical_formula_sum 'Na1 Sr3 Ta1'
_cell_length_a 6.113
_cell_length_b 6.113
_cell_length_c 6.113
_cell_angle_alpha 90.00
_cell_angle_beta 90.00
_cell_angle_gamma 90.00
_space_group_name_H-M_alt 'P m -3 m'
_space_group_IT_number 221
_space_group_name_Hall '-P 4 2 3'
loop_
_atom_site_label
_atom_site_fract_x
_atom_site_fract_y
_atom_site_fract_z
Na1 0.000 0.000 0.000
Sr1 0.000 0.500 0.500
Ta1 0.500 0.500 0.500
```



Here is crystalline Ca2ZrSeN at its relaxed geometry from Alexandria via LeMat-Bulk. Energies are from GGA-PBE.

electronic total energy: -4.837 eV/atom
theoretical density: 3.78 g/cm³

Structure (CIF):
```
data_Ca2ZrSeN
_chemical_formula_sum 'Ca2 Zr1 Se1 N1'
_cell_length_a 4.535
_cell_length_b 4.535
_cell_length_c 5.646
_cell_angle_alpha 90.00
_cell_angle_beta 90.00
_cell_angle_gamma 90.00
_space_group_name_H-M_alt 'P 4/m m m'
_space_group_IT_number 123
_space_group_name_Hall '-P 4 2'
loop_
_atom_site_label
_atom_site_fract_x
_atom_site_fract_y
_atom_site_fract_z
Ca1 0.000 0.500 0.000
Zr1 0.000 0.000 0.500
Se1 0.500 0.500 0.500
N1 0.500 0.500 0.000
```



Here is crystalline MgTcAs4 at its relaxed geometry from Alexandria via LeMat-Bulk. Energies are from GGA-PBE.

electronic total energy: -4.474 eV/atom
ΔH_f (0 K): 619 meV/atom
theoretical density: 6.05 g/cm³

Structure (CIF):
```
data_MgTcAs4
_chemical_formula_sum 'Mg4 Tc4 As16'
_cell_length_a 7.739
_cell_length_b 7.739
_cell_length_c 7.739
_cell_angle_alpha 90.00
_cell_angle_beta 90.00
_cell_angle_gamma 90.00
_space_group_name_H-M_alt 'F -4 3 m'
_space_group_IT_number 216
_space_group_name_Hall 'F -4 2 3'
loop_
_atom_site_label
_atom_site_fract_x
_atom_site_fract_y
_atom_site_fract_z
Mg1 0.000 0.000 0.000
Tc1 0.250 0.250 0.750
As1 0.125 0.125 0.375
```